(1)
Crystalline La2TbY3Te6 at its relaxed geometry, computed with PBE.

Properties
Volume   371 Å³/cell
Mass density   6.576 g/cm³
N(E_F)   7.177 states/eV per cell

Structure (POSCAR):
```
La2TbY3Te6
1.0
4.415 0.000 0.000
0.000 8.927 0.299
-2.207 -2.593 9.326
La Tb Y Te
2 1 3 6
Direct
0.833 0.667 0.666 La
0.167 0.333 0.334 La
0.500 0.000 0.000 Tb
0.500 0.500 0.000 Y
0.830 0.166 0.659 Y
0.170 0.834 0.341 Y
0.335 0.929 0.670 Te
0.663 0.592 0.325 Te
0.665 0.071 0.330 Te
0.995 0.248 0.990 Te
0.005 0.752 0.010 Te
0.337 0.408 0.675 Te
```



(2)
Crystalline LaTb2YTe6 at its relaxed geometry, computed with PBE.

Properties
Volume   376 Å³/cell
Mass density   5.789 g/cm³

Structure (POSCAR):
```
LaTb2YTe6
1.0
7.838 0.000 0.000
3.919 6.788 0.000
3.919 2.263 7.071
La Tb Y Te
1 2 1 6
Direct
0.817 0.817 0.549 La
0.511 0.511 0.466 Tb
0.008 0.008 0.975 Tb
0.322 0.322 0.034 Y
0.604 0.234 0.247 Te
0.234 0.915 0.247 Te
0.915 0.604 0.247 Te
0.395 0.731 0.750 Te
0.731 0.124 0.750 Te
0.124 0.395 0.750 Te
```



no.,spin magnetization (μB per atom),raw formation energy (eV per atom)
1,0.00,-1.41
2,0.00,-1.41